No. 1
Sc2FeH: relaxed, PBE.

a = 6.054 Å, b = 6.054 Å, c = 5.377 Å
α = 55.74°, β = 55.74°, γ = 90.00°
Each line ends with the local moment (μB).
Sites, in units of the cell vectors:
Sc: 0.547 0.125 0.250  -0.26
Sc: 0.203 0.625 0.250  -0.25
Sc: 0.375 0.453 0.750  -0.25
Sc: 0.875 0.797 0.750  -0.24
H: 0.500 0.500 0.000  0.00
H: 0.250 0.750 0.500  0.00
Fe: 0.000 0.000 0.000  1.73
Fe: 0.750 0.250 0.500  1.74

Values from the calculation:
ΔE to the lowest computed polymorph: 0.014 eV per atom
calculated total energy: -0.2255 hartree per atom
density: 4.09 Mg/m³
space group: I-42d (122)



No. 2
Sc2FeSiH: relaxed, PBE.

a = 4.420 Å, b = 4.420 Å, c = 3.489 Å
α = 90.00°, β = 90.00°, γ = 90.00°
Each line ends with the local moment (μB).
Sites, in units of the cell vectors:
Sc: 0.000 0.500 0.000  -0.20
Sc: 0.500 0.000 0.000  -0.20
H: 0.000 0.000 0.000  0.00
Si: 0.500 0.500 0.500  0.03
Fe: 0.000 0.000 0.500  1.65

Values from the calculation:
calculated total energy: -0.2372 hartree per atom
density: 4.26 Mg/m³
space group: P4/mmm (123)



No. 3
Sc2FeSnH: relaxed, PBE.

a = 4.581 Å, b = 4.581 Å, c = 3.713 Å
α = 90.00°, β = 90.00°, γ = 90.00°
Each line ends with the local moment (μB).
Sites, in units of the cell vectors:
Sc: 0.000 0.500 0.000  -0.27
Sc: 0.500 0.000 0.000  -0.27
H: 0.000 0.000 0.000  0.00
Sn: 0.500 0.500 0.500  0.03
Fe: 0.000 0.000 0.500  1.98

Values from the calculation:
calculated total energy: -0.2245 hartree per atom
density: 5.66 Mg/m³
space group: P4/mmm (123)



No. 4
ScFe2SnH: relaxed, PBE.

a = 4.044 Å, b = 4.044 Å, c = 4.098 Å
α = 90.00°, β = 90.00°, γ = 90.00°
Each line ends with the local moment (μB).
Sites, in units of the cell vectors:
Sc: 0.000 0.000 0.500  -0.25
H: 0.000 0.000 0.000  -0.01
Sn: 0.500 0.500 0.500  -0.04
Fe: 0.000 0.500 0.000  2.32
Fe: 0.500 0.000 0.000  2.32

Values from the calculation:
calculated total energy: -0.2292 hartree per atom
density: 6.85 Mg/m³
space group: P4/mmm (123)



No. 5
ThScFe2H6: relaxed, PBE.

a = 4.447 Å, b = 4.447 Å, c = 5.885 Å
α = 67.80°, β = 67.80°, γ = 60.00°
Each line ends with the local moment (μB).
Sites, in units of the cell vectors:
Th: 0.000 0.000 0.000  -0.04
Sc: 0.500 0.500 0.500  -0.05
Fe: 0.792 0.792 0.625  0.55
Fe: 0.208 0.208 0.375  0.55
H: 0.063 0.564 0.808  0.00
H: 0.564 0.063 0.808  0.00
H: 0.436 0.436 0.192  0.00
H: 0.937 0.436 0.192  0.00
H: 0.436 0.937 0.192  0.00
H: 0.564 0.564 0.808  0.00

Values from the calculation:
calculated total energy: -0.1999 hartree per atom
density: 7.23 Mg/m³
space group: R-3m (166)



No. 6
Sc2VFeH: relaxed, PBE.

a = 4.508 Å, b = 3.533 Å, c = 4.508 Å
α = 90.00°, β = 90.00°, γ = 90.00°
Each line ends with the local moment (μB).
Sites, in units of the cell vectors:
Sc: 0.000 0.000 0.500  -0.05
Sc: 0.500 0.000 0.000  -0.04
H: 0.000 0.000 0.000  -0.01
Fe: 0.500 0.500 0.500  1.78
V: 0.000 0.500 0.000  1.84

Values from the calculation:
calculated total energy: -0.2459 hartree per atom
density: 4.57 Mg/m³
space group: P4/mmm (123)



No. 7
FeHSe: relaxed, PBE.

a = 4.741 Å, b = 3.368 Å, c = 9.320 Å
α = 90.00°, β = 101.05°, γ = 90.00°
Each line ends with the local moment (μB).
Sites, in units of the cell vectors:
Fe: 0.246 0.000 0.698  1.88
Fe: 0.246 0.500 0.198  1.88
Fe: 0.127 0.000 0.413  -0.26
Fe: 0.127 0.500 0.913  -0.26
H: 0.966 0.000 0.554  -0.01
H: 0.966 0.500 0.054  -0.01
H: 0.324 0.000 0.287  -0.01
H: 0.324 0.500 0.787  -0.01
Se: 0.831 0.000 0.806  -0.04
Se: 0.831 0.500 0.306  -0.04
Se: 0.434 0.000 0.042  -0.05
Se: 0.434 0.500 0.542  -0.05

Values from the calculation:
calculated total energy: -0.1872 hartree per atom
density: 6.18 Mg/m³
space group: Cm (8)



No. 8
Fe2HSe: relaxed, PBE.

a = 4.470 Å, b = 4.470 Å, c = 5.741 Å
α = 67.09°, β = 67.09°, γ = 90.00°
Each line ends with the local moment (μB).
Sites, in units of the cell vectors:
H: 0.500 0.500 0.000  -0.02
H: 0.250 0.750 0.500  -0.02
Fe: 0.492 0.125 0.250  1.94
Fe: 0.258 0.625 0.250  1.97
Fe: 0.375 0.508 0.750  2.09
Fe: 0.875 0.742 0.750  2.12
Se: 0.000 0.000 0.000  -0.07
Se: 0.750 0.250 0.500  -0.07

Values from the calculation:
ΔE to the lowest computed polymorph: 0.000 eV per atom
calculated total energy: -0.2124 hartree per atom
density: 6.65 Mg/m³
space group: I-42d (122)